Entry from Alexandria: a relaxed K3CdIn8 crystal (PBE-GGA).

Cell lengths 6.422, 6.422, 11.006 Å; angles 73.04, 73.04, 60.00 degrees
Element x y z (fractional)
K 0.377 0.377 0.870
K 0.997 0.997 0.009
K 0.502 0.502 0.494
Cd 0.868 0.868 0.397
In 0.937 0.437 0.190
In 0.439 0.940 0.681
In 0.437 0.437 0.190
In 0.940 0.940 0.681
In 0.187 0.187 0.438
In 0.690 0.690 0.929
In 0.437 0.937 0.190
In 0.940 0.439 0.681

Results
For the calculated total energy, the calculation gives -0.164 Ry/atom. The formation enthalpy at 0 K comes out at -0.059 eV per atom.